First-principles (meta-GGA SCAN) data for a crystal of SrYNbRe2 relaxed with PBEsol, as listed in Alexandria.

## Properties
E_form   1057.3 kJ/mol of formula units
Fermi-level density of states   4.6 states/eV/cell
Total magnetization   1.15 μB/f.u.

```
SrYNbRe2
1.0
4.917 0.000 0.000
0.000 4.917 0.000
0.000 0.000 4.952
Y Re Nb Sr
1 2 1 1
direct
0.000 0.000 0.000
0.000 0.500 0.000
0.500 0.000 0.000
0.000 0.000 0.500
0.500 0.500 0.500
```